Entry 1:
LaTaRh: relaxed, GGA-PBE.

Cell and atoms, written as POSCAR:
```
LaTaRh
1.0
0.000 3.329 3.329
3.329 0.000 3.329
3.329 3.329 0.000
Rh La Ta
1 1 1
Cartesian
1.664 1.664 1.664
3.329 3.329 3.329
0.000 0.000 0.000
```

Calculated values
Energy above the most stable polymorph in this dataset: 140.8 kJ/mol of formula units

=====

Entry 2:
CrCuPt: relaxed, GGA-PBE.

Cell and atoms, written as POSCAR:
```
CrCuPt
1.0
5.823 -0.004 0.005
5.206 2.608 0.007
0.617 0.144 2.609
Cr Cu Pt
1 1 1
Cartesian
0.629 0.146 2.605
7.494 1.769 0.893
4.139 0.976 1.730
```

Calculated values
Energy above the most stable polymorph in this dataset: 11.7 kJ/mol of formula units

=====

Entry 3:
Pm6Tm2Mg: relaxed, GGA-PBE.

Cell and atoms, written as POSCAR:
```
Pm6Tm2Mg
1.0
-0.644 5.023 -3.365
-8.042 0.805 8.231
0.535 3.701 10.913
Pm Mg Tm
12 2 4
Cartesian
-4.996 3.676 3.696
-7.767 6.916 9.059
-7.922 6.809 15.489
-3.154 5.853 12.083
-1.839 4.797 -1.795
-3.972 3.019 6.945
-5.146 3.563 10.113
-3.005 5.966 5.666
-6.312 4.732 17.574
-4.179 6.510 8.834
-0.384 2.613 6.720
-0.228 2.720 0.290
-1.770 4.233 9.401
-6.381 5.296 6.378
-3.171 5.663 1.379
-4.980 3.866 14.400
-1.483 3.613 3.488
-6.668 5.916 12.291
```

Calculated values
Energy above the most stable polymorph in this dataset: 35.9 kJ/mol of formula units

=====

Entry 4:
Ir2AuCl: relaxed, GGA-PBE.

Cell and atoms, written as POSCAR:
```
Ir2AuCl
1.0
3.780 0.000 0.000
0.000 4.153 0.000
0.000 0.000 4.153
Ir Au Cl
2 1 1
Cartesian
0.000 2.077 2.077
0.000 0.000 0.000
1.890 2.077 0.000
1.890 0.000 2.077
```

Calculated values
Energy relative to the elements, uncorrected: 1208.8 meV per atom
Energy above the most stable polymorph in this dataset: 340.8 kJ/mol of formula units

=====

Entry 5:
MgCu2O4: relaxed, GGA-PBE.

Cell and atoms, written as POSCAR:
```
MgCu2O4
1.0
1.437 7.440 -0.503
-1.437 7.440 -0.503
0.000 4.306 6.989
Mg O Cu
2 8 4
Cartesian
0.000 6.016 0.808
0.000 13.171 5.176
0.000 17.558 5.862
0.000 3.001 2.206
0.000 12.884 1.666
0.000 1.629 0.122
0.000 6.303 4.318
0.000 11.422 4.068
0.000 16.186 3.777
0.000 7.765 1.915
0.000 14.666 2.626
0.000 9.601 5.127
0.000 9.586 0.857
0.000 4.521 3.357
```

Calculated values
Energy relative to the elements, uncorrected: -935.8 meV per atom
Energy above the most stable polymorph in this dataset: 109.3 kJ/mol of formula units

=====

Entry 6:
Li2BPd4: relaxed, GGA-PBE.

Cell and atoms, written as POSCAR:
```
Li2BPd4
1.0
2.915 0.000 0.000
0.000 4.946 0.036
-1.457 -2.318 6.800
Li Pd B
2 4 1
Cartesian
1.457 2.583 3.470
0.000 0.045 3.366
0.000 1.726 5.582
1.457 0.903 1.254
0.000 3.292 1.303
1.457 -0.663 5.533
0.000 0.000 0.000
```

Calculated values
Energy above the most stable polymorph in this dataset: 0.0 kJ/mol of formula units

=====

Entry 7:
LaH8Rh2Pb: relaxed, GGA-PBE.

Cell and atoms, written as POSCAR:
```
LaH8Rh2Pb
1.0
5.053 0.000 0.000
2.527 4.376 0.000
2.527 1.459 5.815
H Pb La Rh
8 1 1 2
Cartesian
6.127 2.300 0.918
7.580 4.376 3.297
5.052 4.156 0.918
3.980 3.535 4.896
2.527 1.459 2.518
5.055 1.679 4.896
6.125 3.539 4.896
3.982 2.297 0.918
0.000 0.000 0.000
5.053 2.918 2.907
2.527 1.459 0.869
7.580 4.376 4.946
```

Calculated values
E: -4.27 eV/atom

=====

Entry 8:
Tb2PrNd4Tm: relaxed, GGA-PBE.

Cell and atoms, written as POSCAR:
```
Tb2PrNd4Tm
1.0
3.645 0.000 0.000
0.000 6.278 -0.194
0.000 2.489 11.736
Tm Pr Tb Nd
1 1 2 4
Cartesian
0.000 4.383 5.771
1.823 3.139 -0.097
0.000 2.489 11.736
1.823 1.244 5.868
3.645 2.190 2.926
1.823 3.433 8.718
1.823 5.334 2.824
0.000 6.576 8.615
```

Calculated values
E: -4.68 eV/atom